VASP calculation (PBE) on Ce5Hg3Pb3 after structural relaxation.

VASP energy   -40.5 eV/cell

Geometry as CIF:
```
data_Ce5Hg3Pb3
_chemical_formula_sum 'Ce5 Hg3 Pb3'
_cell_length_a 10.7136
_cell_length_b 10.7136
_cell_length_c 3.4120
_cell_angle_alpha 90.00
_cell_angle_beta 90.00
_cell_angle_gamma 120.00
_symmetry_space_group_name_H-M 'P -6 2 m'
_symmetry_Int_Tables_number 189
_symmetry_space_group_name_Hall 'P -6 -2'
loop_
_atom_site_label
_atom_site_type_symbol
_atom_site_fract_x
_atom_site_fract_y
_atom_site_fract_z
Ce1 Ce 0.0000 0.3429 0.0000
Ce2 Ce 0.3333 0.6667 0.0000
Hg1 Hg 0.0000 0.8427 0.0000
Pb1 Pb 0.0000 0.6016 0.5000
```

VASP calculation (PBE) on Ce2HgPb2 after structural relaxation.

VASP energy   -42.0 eV/cell

Geometry as CIF:
```
data_Ce2HgPb2
_chemical_formula_sum 'Ce4 Hg2 Pb4'
_cell_length_a 8.189
_cell_length_b 8.189
_cell_length_c 4.441
_cell_angle_alpha 90.00
_cell_angle_beta 90.00
_cell_angle_gamma 90.00
_symmetry_space_group_name_H-M 'P 4/m b m'
_symmetry_Int_Tables_number 127
_symmetry_space_group_name_Hall '-P 4 2ab'
loop_
_atom_site_label
_atom_site_type_symbol
_atom_site_fract_x
_atom_site_fract_y
_atom_site_fract_z
Ce1 Ce 0.118 0.382 0.000
Hg1 Hg 0.000 0.000 0.000
Pb1 Pb 0.182 0.682 0.500
```

VASP calculation (PBE) on Ce3Hg2Pb3 after structural relaxation.

VASP energy   -127.6 eV/cell

Geometry as CIF:
```
data_Ce3Hg2Pb3
_chemical_formula_sum 'Ce12 Hg8 Pb12'
_cell_length_a 4.765
_cell_length_b 11.986
_cell_length_c 16.525
_cell_angle_alpha 90.00
_cell_angle_beta 90.00
_cell_angle_gamma 90.00
_symmetry_space_group_name_H-M 'C m c m'
_symmetry_Int_Tables_number 63
_symmetry_space_group_name_Hall '-C 2c 2'
loop_
_atom_site_label
_atom_site_type_symbol
_atom_site_fract_x
_atom_site_fract_y
_atom_site_fract_z
Ce1 Ce 0.000 0.068 0.111
Ce2 Ce 0.000 0.328 0.250
Hg1 Hg 0.000 0.210 0.625
Pb1 Pb 0.000 0.371 0.031
Pb2 Pb 0.000 0.406 0.750
```

VASP calculation (PBE) on Ce5Hg2Pb2 after structural relaxation.

VASP energy   -156.5 eV/cell

Geometry as CIF:
```
data_Ce5Hg2Pb2
_chemical_formula_sum 'Ce20 Hg8 Pb8'
_cell_length_a 19.710
_cell_length_b 7.903
_cell_length_c 6.767
_cell_angle_alpha 90.00
_cell_angle_beta 90.00
_cell_angle_gamma 90.00
_symmetry_space_group_name_H-M 'I m a 2'
_symmetry_Int_Tables_number 46
loop_
_symmetry_equiv_pos_as_xyz
'x,y,z'
'-x,-y,z'
'-x+1/2,y,z'
'x+1/2,-y,z'
'x+1/2,y+1/2,z+1/2'
'-x+1/2,-y+1/2,z+1/2'
'-x,y+1/2,z+1/2'
'x,-y+1/2,z+1/2'
loop_
_atom_site_label
_atom_site_type_symbol
_atom_site_fract_x
_atom_site_fract_y
_atom_site_fract_z
Ce1 Ce 0.105 0.231 0.000
Ce2 Ce 0.171 0.704 0.011
Ce3 Ce 0.250 0.007 0.297
Hg1 Hg 0.054 0.612 0.731
Pb1 Pb 0.000 0.000 0.724
Pb2 Pb 0.250 0.072 0.793
```

VASP calculation (PBE) on CeHg6Pb after structural relaxation.

VASP energy   -25.0 eV/cell

Geometry as CIF:
```
data_CeHg6Pb
_chemical_formula_sum 'Ce2 Hg12 Pb2'
_cell_length_a 5.120
_cell_length_b 6.927
_cell_length_c 11.938
_cell_angle_alpha 90.00
_cell_angle_beta 90.00
_cell_angle_gamma 90.00
_symmetry_space_group_name_H-M 'A m m 2'
_symmetry_Int_Tables_number 38
loop_
_symmetry_equiv_pos_as_xyz
'x,y,z'
'-x,-y,z'
'-x,y,z'
'x,-y,z'
'x,y+1/2,z+1/2'
'-x,-y+1/2,z+1/2'
'-x,y+1/2,z+1/2'
'x,-y+1/2,z+1/2'
loop_
_atom_site_label
_atom_site_type_symbol
_atom_site_fract_x
_atom_site_fract_y
_atom_site_fract_z
Ce1 Ce 0.000 0.000 0.000
Hg1 Hg 0.000 0.000 0.508
Hg2 Hg 0.000 0.234 0.745
Hg3 Hg 0.500 0.000 0.833
Hg4 Hg 0.500 0.248 0.582
Pb1 Pb 0.500 0.000 0.330
```

VASP calculation (PBE) on CeHgPdPb after structural relaxation.

VASP energy   -67.3 eV/cell

Geometry as CIF:
```
data_CeHgPdPb
_chemical_formula_sum 'Ce4 Hg4 Pd4 Pb4'
_cell_length_a 7.262
_cell_length_b 7.262
_cell_length_c 7.262
_cell_angle_alpha 90.00
_cell_angle_beta 90.00
_cell_angle_gamma 90.00
_symmetry_space_group_name_H-M 'F -4 3 m'
_symmetry_Int_Tables_number 216
_symmetry_space_group_name_Hall 'F -4 2 3'
loop_
_atom_site_label
_atom_site_type_symbol
_atom_site_fract_x
_atom_site_fract_y
_atom_site_fract_z
Ce1 Ce 0.000 0.000 0.000
Hg1 Hg 0.250 0.250 0.250
Pd1 Pd 0.250 0.250 0.750
Pb1 Pb 0.000 0.000 0.500
```

VASP calculation (PBE) on Ce2PmHg4Pb after structural relaxation.

VASP energy   -73.0 eV/cell

Geometry as CIF:
```
data_Ce2PmHg4Pb
_chemical_formula_sum 'Ce6 Pm3 Hg12 Pb3'
_cell_length_a 5.3310
_cell_length_b 5.3310
_cell_length_c 27.0727
_cell_angle_alpha 90.00
_cell_angle_beta 90.00
_cell_angle_gamma 120.00
_symmetry_space_group_name_H-M 'R -3 m'
_symmetry_Int_Tables_number 166
_symmetry_space_group_name_Hall '-R 3 2"'
loop_
_atom_site_label
_atom_site_type_symbol
_atom_site_fract_x
_atom_site_fract_y
_atom_site_fract_z
Ce1 Ce 0.0000 0.0000 0.2403
Pm1 Pm 0.0000 0.0000 0.0000
Hg1 Hg 0.0000 0.0000 0.1187
Hg2 Hg 0.0000 0.0000 0.3676
Pb1 Pb 0.0000 0.0000 0.5000
```

VASP calculation (PBE) on Ce2PrHg2Pb2 after structural relaxation.

VASP energy   -78.7 eV/cell

Geometry as CIF:
```
data_Ce2PrHg2Pb2
_chemical_formula_sum 'Ce6 Pr3 Hg6 Pb6'
_cell_length_a 5.0032
_cell_length_b 5.0032
_cell_length_c 28.1632
_cell_angle_alpha 90.00
_cell_angle_beta 90.00
_cell_angle_gamma 120.00
_symmetry_space_group_name_H-M 'R -3 m'
_symmetry_Int_Tables_number 166
_symmetry_space_group_name_Hall '-R 3 2"'
loop_
_atom_site_label
_atom_site_type_symbol
_atom_site_fract_x
_atom_site_fract_y
_atom_site_fract_z
Ce1 Ce 0.0000 0.0000 0.1425
Pr1 Pr 0.0000 0.0000 0.0000
Hg1 Hg 0.0000 0.0000 0.4339
Pb1 Pb 0.0000 0.0000 0.2725
```

VASP calculation (PBE) on CePr2Hg2Pb2 after structural relaxation.

VASP energy   -75.4 eV/cell

Geometry as CIF:
```
data_CePr2Hg2Pb2
_chemical_formula_sum 'Ce3 Pr6 Hg6 Pb6'
_cell_length_a 5.1543
_cell_length_b 5.1543
_cell_length_c 27.8287
_cell_angle_alpha 90.00
_cell_angle_beta 90.00
_cell_angle_gamma 120.00
_symmetry_space_group_name_H-M 'R -3 m'
_symmetry_Int_Tables_number 166
_symmetry_space_group_name_Hall '-R 3 2"'
loop_
_atom_site_label
_atom_site_type_symbol
_atom_site_fract_x
_atom_site_fract_y
_atom_site_fract_z
Ce1 Ce 0.0000 0.0000 0.0000
Pr1 Pr 0.0000 0.0000 0.1297
Hg1 Hg 0.0000 0.0000 0.4297
Pb1 Pb 0.0000 0.0000 0.2745
```

VASP calculation (PBE) on CeHgPtPb after structural relaxation.

VASP energy   -71.7 eV/cell

Geometry as CIF:
```
data_CeHgPtPb
_chemical_formula_sum 'Ce4 Hg4 Pt4 Pb4'
_cell_length_a 7.248
_cell_length_b 7.248
_cell_length_c 7.248
_cell_angle_alpha 90.00
_cell_angle_beta 90.00
_cell_angle_gamma 90.00
_symmetry_space_group_name_H-M 'F -4 3 m'
_symmetry_Int_Tables_number 216
_symmetry_space_group_name_Hall 'F -4 2 3'
loop_
_atom_site_label
_atom_site_type_symbol
_atom_site_fract_x
_atom_site_fract_y
_atom_site_fract_z
Ce1 Ce 0.000 0.000 0.000
Hg1 Hg 0.250 0.250 0.250
Pt1 Pt 0.250 0.250 0.750
Pb1 Pb 0.000 0.000 0.500
```

VASP calculation (PBE) on CeHgSbPb after structural relaxation.

ΔE_f (raw)   -33.9 kJ/mol of atoms
VASP energy   -61.9 eV/cell

Geometry as CIF:
```
data_CeHgSbPb
_chemical_formula_sum 'Ce4 Hg4 Sb4 Pb4'
_cell_length_a 7.697
_cell_length_b 7.697
_cell_length_c 7.697
_cell_angle_alpha 90.00
_cell_angle_beta 90.00
_cell_angle_gamma 90.00
_symmetry_space_group_name_H-M 'F -4 3 m'
_symmetry_Int_Tables_number 216
_symmetry_space_group_name_Hall 'F -4 2 3'
loop_
_atom_site_label
_atom_site_type_symbol
_atom_site_fract_x
_atom_site_fract_y
_atom_site_fract_z
Ce1 Ce 0.000 0.000 0.000
Hg1 Hg 0.250 0.250 0.250
Sb1 Sb 0.250 0.250 0.750
Pb1 Pb 0.000 0.000 0.500
```

VASP calculation (PBE) on CeHgSbPb after structural relaxation.

ΔE_f (raw)   -46.2 kJ/mol of atoms
VASP energy   -16.0 eV/cell

Geometry as CIF:
```
data_CeHgSbPb
_chemical_formula_sum 'Ce1 Hg1 Sb1 Pb1'
_cell_length_a 4.579
_cell_length_b 4.657
_cell_length_c 5.103
_cell_angle_alpha 90.00
_cell_angle_beta 90.00
_cell_angle_gamma 90.00
_symmetry_space_group_name_H-M 'P m m m'
_symmetry_Int_Tables_number 47
loop_
_symmetry_equiv_pos_as_xyz
'x,y,z'
'-x,-y,-z'
'-x,-y,z'
'x,y,-z'
'x,-y,-z'
'-x,y,z'
'-x,y,-z'
'x,-y,z'
loop_
_atom_site_label
_atom_site_type_symbol
_atom_site_fract_x
_atom_site_fract_y
_atom_site_fract_z
Ce1 Ce 0.000 0.000 0.000
Hg1 Hg 0.000 0.500 0.500
Sb1 Sb 0.500 0.500 0.000
Pb1 Pb 0.500 0.000 0.500
```

> Among the records above, which one has the lowest VASP energy?

Ce5Hg2Pb2